# 1
Entry from the Alexandria database: crystalline NpMnFeP2 at its relaxed geometry (PBE-GGA).

It has space group I-4m2 (No. 119), with a = 3.843 Å, b = 3.843 Å, c = 9.520 Å, α = 90.00°, β = 90.00° and γ = 90.00°. The asymmetric unit holds Np at (0.000, 0.000, 0.000), Mn at (0.000, 0.500, 0.750), Fe at (0.000, 0.500, 0.250) and P at (0.000, 0.000, 0.368).

Its total energy is -8.98 eV/atom.


# 2
Entry from the Alexandria database: crystalline NpMn2FeP2 at its relaxed geometry (PBE-GGA).

It has space group Pmc2_1 (No. 26), with a = 3.692 Å, b = 7.735 Å, c = 5.801 Å, α = 90.00°, β = 90.00° and γ = 90.00°. The asymmetric unit holds Np at (0.000, 0.066, 0.000), Mn at (0.000, 0.335, 0.410), Mn at (0.500, 0.434, 0.080), Fe at (0.500, 0.233, 0.714), P at (0.000, 0.397, 0.784) and P at (0.500, 0.190, 0.331).

Its total energy is -8.93 eV/atom.


# 3
Entry from the Alexandria database: crystalline NpMnFeRu at its relaxed geometry (PBE-GGA).

It has space group F-43m (No. 216), with a = 6.269 Å, b = 6.269 Å, c = 6.269 Å, α = 90.00°, β = 90.00° and γ = 90.00°. The asymmetric unit holds Np at (0.000, 0.000, 0.000), Mn at (0.000, 0.000, 0.500), Fe at (0.250, 0.250, 0.750) and Ru at (0.250, 0.250, 0.250).

Its total energy is -9.87 eV/atom.


# 4
Entry from the Alexandria database: crystalline NpMnFeSi at its relaxed geometry (PBE-GGA).

It has space group F-43m (No. 216), with a = 6.078 Å, b = 6.078 Å, c = 6.078 Å, α = 90.00°, β = 90.00° and γ = 90.00°. The asymmetric unit holds Np at (0.000, 0.000, 0.000), Mn at (0.250, 0.250, 0.250), Fe at (0.250, 0.250, 0.750) and Si at (0.000, 0.000, 0.500).

The calculation puts the uncorrected formation energy at -99 meV per atom.


# 5
Entry from the Alexandria database: crystalline NpMnFeTc at its relaxed geometry (PBE-GGA).

It has space group F-43m (No. 216), with a = 6.278 Å, b = 6.278 Å, c = 6.278 Å, α = 90.00°, β = 90.00° and γ = 90.00°. The asymmetric unit holds Np at (0.000, 0.000, 0.000), Mn at (0.000, 0.000, 0.500), Fe at (0.250, 0.250, 0.750) and Tc at (0.250, 0.250, 0.250).

Its total energy is -9.95 eV/atom.


# 6
Entry from the Alexandria database: crystalline NpUMnFe at its relaxed geometry (PBE-GGA).

It has space group F-43m (No. 216), with a = 6.286 Å, b = 6.286 Å, c = 6.286 Å, α = 90.00°, β = 90.00° and γ = 90.00°. The asymmetric unit holds Np at (0.000, 0.000, 0.000), U at (0.250, 0.250, 0.750), Mn at (0.000, 0.000, 0.500) and Fe at (0.250, 0.250, 0.250).

Its total energy is -10.53 eV/atom.